# 1
The following is a PBE calculation of a relaxed ScP2CO crystal, from the Alexandria database.

Computed properties:
magnetization = 0.0 μB per formula unit
ΔE_f (raw) = 1.1618 eV per atom

a b c (Å): 5.0705 5.0705 3.8098
angles (deg): 90.00 90.00 90.00
Space group P4/mmm (No. 123)
One atom of each set of equivalent atoms:
Sc  0.0000  0.0000  0.0000 [1 per cell]
P  0.0000  0.5000  0.0000 [2 per cell]
C  0.5000  0.5000  0.5000 [1 per cell]
O  0.0000  0.0000  0.5000 [1 per cell]


# 2
The following is a PBE calculation of a relaxed Nd2YNi9 crystal, from the Alexandria database.

Computed properties:
magnetization = 1.0 μB per formula unit
ΔE_f = -0.332 eV/atom

a b c (Å): 5.0027 5.0027 24.8244
angles (deg): 90.00 90.00 120.00
Space group R-3m (No. 166, hexagonal axes)
One atom of each set of equivalent atoms:
Nd  0.0000  0.0000  0.1380 [6 per cell]
Y  0.0000  0.0000  0.0000 [3 per cell]
Ni  0.0000  0.0000  0.3328 [6 per cell]
Ni  0.0000  0.0000  0.5000 [3 per cell]
Ni  0.0009  0.5004  0.0799 [18 per cell]


Number 1: density 2.29 g cm⁻³, total DFT energy (no corrections) -25.5 eV/f.u.. Number 2: density 8.38 g cm⁻³, total DFT energy (no corrections) -72.0 eV/f.u..